DFT (GGA-PBE) results for a geometry-optimized Ga8Tc3 structure.

a b c (Å): 5.850 5.850 5.850
angles (deg): 90.00 90.00 90.00
Space group Pm-3m (No. 221)
Asymmetric unit:
Ga1 0.241 0.241 0.241 [8 per cell]
Tc1 0.000 0.500 0.500 [3 per cell]

Results
Fermi-level density of states in states/eV per atom: 0.720
E_form in meV per atom: 97